{"formula": "Ga2Pd4Au3", "functional": "PBE-GGA", "state": "relaxed", "lattice_angstrom": [[3.8805, 0.0002, 0.0002], [1.9400, 4.2857, 0.9369], [-0.0005, -0.2660, 8.7596]], "species": ["Pd", "Pd", "Pd", "Pd", "Au", "Au", "Au", "Ga", "Ga"], "frac_coords": [[0.6814, 0.6372, 0.8810], [0.3186, 0.3628, 0.1190], [0.0177, 0.9646, 0.3163], [0.9823, 0.0354, 0.6837], [0.3426, 0.3149, 0.4462], [0.0000, 0.0000, 0.0000], [0.6574, 0.6851, 0.5538], [0.3297, 0.3406, 0.7838], [0.6703, 0.6594, 0.2162]], "crystal_system": "monoclinic", "total_magnetization_mub_per_fu": 0.000, "formation_enthalpy_0k_ev_per_atom": -0.3429, "n_ef_per_ev_fu": 2.70, "e_tot_ev_per_atom": -4.42}